No. 1
# YMnZn2

YMnZn2 after structural relaxation (PBE, Alexandria).

```
data_YMnZn2
_chemical_formula_sum 'Y3 Mn3 Zn6'
_cell_length_a 3.3421
_cell_length_b 3.3421
_cell_length_c 24.9102
_cell_angle_alpha 90.00
_cell_angle_beta 90.00
_cell_angle_gamma 120.00
_symmetry_space_group_name_H-M 'R 3 m'
_symmetry_Int_Tables_number 160
_symmetry_space_group_name_Hall 'R 3 -2"'
loop_
_atom_site_label
_atom_site_fract_x
_atom_site_fract_y
_atom_site_fract_z
Y1 0.0000 0.0000 0.0000
Mn1 0.0000 0.0000 0.2399
Zn1 0.0000 0.0000 0.5006
Zn2 0.0000 0.0000 0.7627
```

Properties
final energy: -4.309 eV per atom
ΔH_f (0 K): 0.237 eV per atom
size of the total moment: 9.1 μB/cell


No. 2
# InIrBr2

InIrBr2 after structural relaxation (PBE, Alexandria).

```
data_InIrBr2
_chemical_formula_sum 'In2 Ir2 Br4'
_cell_length_a 3.5920
_cell_length_b 5.5351
_cell_length_c 11.8153
_cell_angle_alpha 90.00
_cell_angle_beta 90.00
_cell_angle_gamma 90.00
_symmetry_space_group_name_H-M 'I m m m'
_symmetry_Int_Tables_number 71
_symmetry_space_group_name_Hall '-I 2 2'
loop_
_atom_site_label
_atom_site_fract_x
_atom_site_fract_y
_atom_site_fract_z
In1 0.0000 0.0000 0.0000
Ir1 0.0000 0.0000 0.5000
Br1 0.0000 0.5000 0.1477
```

Properties
final energy: -3.672 eV per atom
energy relative to the elements, uncorrected: 64.3 meV per atom
distance to the lowest polymorph of the same formula: 0.49 eV per formula unit
size of the total moment: 0.0 μB/cell


No. 3
# Ac2Ag2Pb

Ac2Ag2Pb after structural relaxation (PBE, Alexandria).

```
data_Ac2Ag2Pb
_chemical_formula_sum 'Ac4 Ag4 Pb2'
_cell_length_a 4.8483
_cell_length_b 15.8708
_cell_length_c 3.9567
_cell_angle_alpha 90.00
_cell_angle_beta 90.00
_cell_angle_gamma 90.00
_symmetry_space_group_name_H-M 'C m m m'
_symmetry_Int_Tables_number 65
_symmetry_space_group_name_Hall '-C 2 2'
loop_
_atom_site_label
_atom_site_fract_x
_atom_site_fract_y
_atom_site_fract_z
Ac1 0.0000 0.1252 0.0000
Ag1 0.0000 0.2980 0.5000
Pb1 0.0000 0.5000 0.5000
```

Properties
final energy: -3.916 eV per atom
distance to the lowest polymorph of the same formula: 0.00 eV per formula unit
ΔH_f (0 K): -0.391 eV per atom
size of the total moment: 0.0 μB/cell


No. 4
# Tm12ZrBi6

Tm12ZrBi6 after structural relaxation (PBE, Alexandria).

```
data_Tm12ZrBi6
_chemical_formula_sum 'Tm36 Zr3 Bi18'
_cell_length_a 14.8709
_cell_length_b 14.8709
_cell_length_c 8.5415
_cell_angle_alpha 90.00
_cell_angle_beta 90.00
_cell_angle_gamma 120.00
_symmetry_space_group_name_H-M 'R -3'
_symmetry_Int_Tables_number 148
_symmetry_space_group_name_Hall '-R 3'
loop_
_atom_site_label
_atom_site_fract_x
_atom_site_fract_y
_atom_site_fract_z
Tm1 0.0075 0.8743 0.1785
Tm2 0.0673 0.4875 0.1594
Zr1 0.0000 0.0000 0.5000
Bi1 0.0249 0.7621 0.8493
```

Properties
final energy: -4.871 eV per atom
ΔH_f (0 K): -0.372 eV per atom
size of the total moment: 0.0 μB/cell


No. 5
# Zr3VRu

Zr3VRu after structural relaxation (PBE, Alexandria).

```
data_Zr3VRu
_chemical_formula_sum 'Zr3 V1 Ru1'
_cell_length_a 4.7738
_cell_length_b 4.7738
_cell_length_c 4.7738
_cell_angle_alpha 90.00
_cell_angle_beta 90.00
_cell_angle_gamma 90.00
_symmetry_space_group_name_H-M 'P m -3 m'
_symmetry_Int_Tables_number 221
_symmetry_space_group_name_Hall '-P 4 2 3'
loop_
_atom_site_label
_atom_site_fract_x
_atom_site_fract_y
_atom_site_fract_z
Zr1 0.0000 0.0000 0.5000
V1 0.0000 0.0000 0.0000
Ru1 0.5000 0.5000 0.5000
```

Properties
final energy: -7.962 eV per atom
distance to the lowest polymorph of the same formula: 1.18 eV per formula unit
ΔH_f (0 K): 0.845 eV per atom
size of the total moment: 0.0 μB/cell


No. 6
# Ba2SrTi2O7

Ba2SrTi2O7 after structural relaxation (PBE, Alexandria).

```
data_Ba2SrTi2O7
_chemical_formula_sum 'Ba4 Sr2 Ti4 O14'
_cell_length_a 5.6898
_cell_length_b 5.6800
_cell_length_c 11.0251
_cell_angle_alpha 90.00
_cell_angle_beta 104.60
_cell_angle_gamma 90.00
_symmetry_space_group_name_H-M 'C 1 2/m 1'
_symmetry_Int_Tables_number 12
_symmetry_space_group_name_Hall '-C 2y'
loop_
_atom_site_label
_atom_site_fract_x
_atom_site_fract_y
_atom_site_fract_z
Ba1 0.1857 0.0000 0.3647
Sr1 0.0000 0.0000 0.0000
Ti1 0.1070 0.5000 0.1851
O1 0.0000 0.5000 0.0000
O2 0.1651 0.2482 0.8186
O3 0.1806 0.5000 0.3707
```

Properties
final energy: -7.691 eV per atom
energy relative to the elements, uncorrected: -3022.4 meV per atom
size of the total moment: 0.0 μB/cell


No. 7
# Be12W

Be12W after structural relaxation (PBE, Alexandria).

```
data_Be12W
_chemical_formula_sum 'Be24 W2'
_cell_length_a 7.1956
_cell_length_b 7.1956
_cell_length_c 4.2182
_cell_angle_alpha 90.00
_cell_angle_beta 90.00
_cell_angle_gamma 90.00
_symmetry_space_group_name_H-M 'I 4/m m m'
_symmetry_Int_Tables_number 139
_symmetry_space_group_name_Hall '-I 4 2'
loop_
_atom_site_label
_atom_site_fract_x
_atom_site_fract_y
_atom_site_fract_z
Be1 0.0000 0.2116 0.0000
Be2 0.0000 0.3515 0.5000
Be3 0.2500 0.2500 0.2500
W1 0.0000 0.0000 0.5000
```

Properties
final energy: -4.550 eV per atom
ΔH_f (0 K): -0.114 eV per atom
size of the total moment: 0.0 μB/cell


No. 8
# Er2Mg3Pd2

Er2Mg3Pd2 after structural relaxation (PBE, Alexandria).

```
data_Er2Mg3Pd2
_chemical_formula_sum 'Er4 Mg6 Pd4'
_cell_length_a 10.3182
_cell_length_b 3.9328
_cell_length_c 7.6782
_cell_angle_alpha 90.00
_cell_angle_beta 95.89
_cell_angle_gamma 90.00
_symmetry_space_group_name_H-M 'C 1 2/m 1'
_symmetry_Int_Tables_number 12
_symmetry_space_group_name_Hall '-C 2y'
loop_
_atom_site_label
_atom_site_fract_x
_atom_site_fract_y
_atom_site_fract_z
Er1 0.1238 0.0000 0.3615
Mg1 0.0000 0.5000 0.0000
Mg2 0.1893 0.0000 0.8637
Pd1 0.0924 0.5000 0.6475
```

Properties
final energy: -4.026 eV per atom
ΔH_f (0 K): -0.555 eV per atom
size of the total moment: 0.0 μB/cell


No. 9
# Ho5AlSn2

Ho5AlSn2 after structural relaxation (PBE, Alexandria).

```
data_Ho5AlSn2
_chemical_formula_sum 'Ho10 Al2 Sn4'
_cell_length_a 9.2485
_cell_length_b 9.5085
_cell_length_c 6.6270
_cell_angle_alpha 90.00
_cell_angle_beta 134.16
_cell_angle_gamma 90.00
_symmetry_space_group_name_H-M 'C 1 2/m 1'
_symmetry_Int_Tables_number 12
_symmetry_space_group_name_Hall '-C 2y'
loop_
_atom_site_label
_atom_site_fract_x
_atom_site_fract_y
_atom_site_fract_z
Ho1 0.0000 0.0000 0.0000
Ho2 0.0000 0.0000 0.5000
Ho3 0.0000 0.5000 0.0000
Ho4 0.2500 0.2500 0.5000
Al1 0.0000 0.5000 0.5000
Sn1 0.2500 0.2500 0.0000
```

Properties
final energy: -4.732 eV per atom
ΔH_f (0 K): -0.403 eV per atom
size of the total moment: 0.0 μB/cell


No. 10
# Sc6P2CS3

Sc6P2CS3 after structural relaxation (PBE, Alexandria).

```
data_Sc6P2CS3
_chemical_formula_sum 'Sc12 P4 C2 S6'
_cell_length_a 16.0685
_cell_length_b 3.6285
_cell_length_c 7.3899
_cell_angle_alpha 90.00
_cell_angle_beta 103.66
_cell_angle_gamma 90.00
_symmetry_space_group_name_H-M 'C 1 2/m 1'
_symmetry_Int_Tables_number 12
_symmetry_space_group_name_Hall '-C 2y'
loop_
_atom_site_label
_atom_site_fract_x
_atom_site_fract_y
_atom_site_fract_z
Sc1 0.0007 0.0000 0.2147
Sc2 0.1480 0.5000 0.0761
Sc3 0.1653 0.5000 0.5787
P1 0.1665 0.0000 0.3315
C1 0.0000 0.5000 0.0000
S1 0.0000 0.5000 0.5000
S2 0.1679 0.0000 0.8354
```

Properties
final energy: -7.459 eV per atom
energy relative to the elements, uncorrected: -1590.8 meV per atom
size of the total moment: 0.0 μB/cell


No. 11
# TiSnP2O8

TiSnP2O8 after structural relaxation (PBE, Alexandria).

```
data_TiSnP2O8
_chemical_formula_sum 'Ti2 Sn2 P4 O16'
_cell_length_a 10.4544
_cell_length_b 5.1617
_cell_length_c 6.8419
_cell_angle_alpha 90.00
_cell_angle_beta 107.48
_cell_angle_gamma 90.00
_symmetry_space_group_name_H-M 'C 1 2/m 1'
_symmetry_Int_Tables_number 12
_symmetry_space_group_name_Hall '-C 2y'
loop_
_atom_site_label
_atom_site_fract_x
_atom_site_fract_y
_atom_site_fract_z
Ti1 0.0000 0.0000 0.0000
Sn1 0.0000 0.0000 0.5000
P1 0.2180 0.0000 0.2196
O1 0.1183 0.2272 0.2405
O2 0.1377 0.5000 0.6585
O3 0.1782 0.0000 0.9705
```

Properties
final energy: -6.983 eV per atom
energy relative to the elements, uncorrected: -1784.8 meV per atom
distance to the lowest polymorph of the same formula: 5.54 eV per formula unit
size of the total moment: 0.0 μB/cell


No. 12
# Nd2Al3Tc

Nd2Al3Tc after structural relaxation (PBE, Alexandria).

```
data_Nd2Al3Tc
_chemical_formula_sum 'Nd6 Al9 Tc3'
_cell_length_a 5.6680
_cell_length_b 5.6680
_cell_length_c 13.4134
_cell_angle_alpha 90.00
_cell_angle_beta 90.00
_cell_angle_gamma 120.00
_symmetry_space_group_name_H-M 'R -3 m'
_symmetry_Int_Tables_number 166
_symmetry_space_group_name_Hall '-R 3 2"'
loop_
_atom_site_label
_atom_site_fract_x
_atom_site_fract_y
_atom_site_fract_z
Nd1 0.0000 0.0000 0.1270
Al1 0.0000 0.5000 0.0000
Tc1 0.0000 0.0000 0.5000
```

Properties
final energy: -5.576 eV per atom
distance to the lowest polymorph of the same formula: 0.26 eV per formula unit
ΔH_f (0 K): -0.388 eV per atom
size of the total moment: 0.0 μB/cell


- Among the records above, which one has the highest size of the total moment?
  YMnZn2


- The highest final energy belongs to which entry?
  InIrBr2


What did the tenth record say?
# Sc6P2CS3

Sc6P2CS3 after structural relaxation (PBE, Alexandria).

```
data_Sc6P2CS3
_chemical_formula_sum 'Sc12 P4 C2 S6'
_cell_length_a 16.0685
_cell_length_b 3.6285
_cell_length_c 7.3899
_cell_angle_alpha 90.00
_cell_angle_beta 103.66
_cell_angle_gamma 90.00
_symmetry_space_group_name_H-M 'C 1 2/m 1'
_symmetry_Int_Tables_number 12
_symmetry_space_group_name_Hall '-C 2y'
loop_
_atom_site_label
_atom_site_fract_x
_atom_site_fract_y
_atom_site_fract_z
Sc1 0.0007 0.0000 0.2147
Sc2 0.1480 0.5000 0.0761
Sc3 0.1653 0.5000 0.5787
P1 0.1665 0.0000 0.3315
C1 0.0000 0.5000 0.0000
S1 0.0000 0.5000 0.5000
S2 0.1679 0.0000 0.8354
```

Properties
final energy: -7.459 eV per atom
energy relative to the elements, uncorrected: -1590.8 meV per atom
size of the total moment: 0.0 μB/cell